Record 1
The following is a DFT calculation (PBE) of a relaxed structure of ErThV.

* energy of formation: 0.283 eV/atom
* total magnetic moment: 0.7 μB per formula unit

Unit cell a=4.7923 b=18.1680 c=3.5198 alpha=90.00 beta=90.00 gamma=90.00
Space group Cmcm (No. 63)
Inequivalent atoms, fractional coordinates:
Er (0.0000, 0.0836, 0.2500) x4
Th (0.0000, 0.2997, 0.2500) x4
V (0.0000, 0.4550, 0.2500) x4

---

Record 2
The following is a DFT calculation (PBE) of a relaxed structure of Er2ThV.

* energy of formation: 0.601 eV/atom
* total magnetic moment: 2.9 μB per formula unit

Unit cell a=3.3838 b=3.3838 c=33.9212 alpha=90.00 beta=90.00 gamma=120.00
Space group R-3m (No. 166, hexagonal axes)
Inequivalent atoms, fractional coordinates:
Er (0.0000, 0.0000, 0.0825) x6
Th (0.0000, 0.0000, 0.5000) x3
V (0.0000, 0.0000, 0.0000) x3

---

Record 3
The following is a DFT calculation (PBE) of a relaxed structure of ErThW.

* energy of formation: 0.464 eV/atom
* total magnetic moment: 0.0 μB per formula unit

Unit cell a=3.9402 b=3.9402 c=9.8758 alpha=90.00 beta=90.00 gamma=90.00
Space group P4/nmm (No. 129, origin choice 2)
Inequivalent atoms, fractional coordinates:
Er (0.2500, 0.2500, 0.1056) x2
Th (0.2500, 0.2500, 0.7110) x2
W (0.2500, 0.2500, 0.4482) x2

---

Record 4
The following is a DFT calculation (PBE) of a relaxed structure of ErThW4.

* energy of formation: 0.123 eV/atom
* total magnetic moment: 0.0 μB per formula unit

Unit cell a=7.8873 b=7.8873 c=7.8873 alpha=90.00 beta=90.00 gamma=90.00
Space group F-43m (No. 216)
Inequivalent atoms, fractional coordinates:
Er (0.0000, 0.0000, 0.0000) x4
Th (0.2500, 0.2500, 0.2500) x4
W (0.1248, 0.1248, 0.6248) x16